1.
A geometry-optimized LiH2RuN structure. Source: Alexandria via LeMat-Bulk, functional PBE-GGA.

a = 3.025 Å, b = 3.966 Å, c = 3.025 Å
α = 90.00°, β = 90.00°, γ = 90.00°
Fractional positions:
Ru (0.500, 0.500, 0.500)
Li (0.000, 0.000, 0.000)
H (0.000, 0.000, 0.500)
H (0.500, 0.000, 0.000)
N (0.000, 0.500, 0.000)

Computed properties:
The value obtained for the total energy is -4.425 eV per atom. Its space-group type is P4/mmm, No. 123. The crystal system is tetragonal.

***

2.
A geometry-optimized TmPuAgSn structure. Source: Alexandria via LeMat-Bulk, functional PBE-GGA.

a = 5.236 Å, b = 5.236 Å, c = 5.236 Å
α = 60.00°, β = 60.00°, γ = 60.00°
Each line ends with the local moment (μB).
Fractional positions:
Tm (0.500, 0.500, 0.500)  0.30
Sn (0.250, 0.250, 0.250)  -0.05
Ag (0.750, 0.750, 0.750)  0.05
Pu (0.000, 0.000, 0.000)  5.49

Computed properties:
Its space-group type is F-43m, No. 216. The crystal system is cubic. As for the energy of formation from the pure elements: -0.308 eV/atom.

***

3.
A geometry-optimized PIrPt structure. Source: Alexandria via LeMat-Bulk, functional PBE-GGA.

a = 4.004 Å, b = 4.004 Å, c = 4.004 Å
α = 60.00°, β = 60.00°, γ = 60.00°
Fractional positions:
Ir (0.500, 0.500, 0.500)
P (0.750, 0.750, 0.750)
Pt (0.000, 0.000, 0.000)

Computed properties:
The value obtained for the energy above the most stable polymorph in this dataset is 0.178 eV per formula unit. Its space-group type is F-43m, No. 216. The crystal system is cubic. As for the energy of formation from the pure elements: -0.307 eV/atom.

***

4.
A geometry-optimized SmEuPdAu structure. Source: Alexandria via LeMat-Bulk, functional PBE-GGA.

a = 5.159 Å, b = 5.159 Å, c = 5.159 Å
α = 60.00°, β = 60.00°, γ = 60.00°
Each line ends with the local moment (μB).
Fractional positions:
Eu (0.250, 0.250, 0.250)  6.79
Au (0.000, 0.000, 0.000)  0.01
Pd (0.500, 0.500, 0.500)  -0.01
Sm (0.750, 0.750, 0.750)  0.03

Computed properties:
Its space-group type is F-43m, No. 216. The crystal system is cubic. As for the energy of formation from the pure elements: -0.736 eV/atom.

***

5.
A geometry-optimized La2Pr5Tm4 structure. Source: Alexandria via LeMat-Bulk, functional PBE-GGA.

a = 3.616 Å, b = 12.279 Å, c = 9.313 Å
α = 107.07°, β = 101.19°, γ = 90.00°
Fractional positions:
La (0.679, 0.297, 0.357)
La (0.321, 0.703, 0.643)
Pr (0.891, 0.482, 0.783)
Pr (0.109, 0.518, 0.217)
Pr (0.834, 0.988, 0.668)
Pr (0.500, 0.000, 0.000)
Pr (0.166, 0.012, 0.332)
Tm (0.331, 0.231, 0.662)
Tm (0.006, 0.752, 0.013)
Tm (0.669, 0.769, 0.338)
Tm (0.994, 0.248, 0.987)

Computed properties:
The value obtained for the energy above the most stable polymorph in this dataset is 0.000 eV per formula unit. Its space-group type is C2/m, No. 12. The crystal system is monoclinic. As for the energy of formation from the pure elements: 0.135 eV/atom.

***

6.
A geometry-optimized LiYPaRh structure. Source: Alexandria via LeMat-Bulk, functional PBE-GGA.

a = 4.931 Å, b = 4.931 Å, c = 4.931 Å
α = 60.00°, β = 60.00°, γ = 60.00°
Each line ends with the local moment (μB).
Fractional positions:
Y (0.000, 0.000, 0.000)  0.04
Pa (0.500, 0.500, 0.500)  0.40
Rh (0.250, 0.250, 0.250)  -0.01
Li (0.750, 0.750, 0.750)  0.01

Computed properties:
Its space-group type is F-43m, No. 216. The crystal system is cubic. As for the energy of formation from the pure elements: -0.144 eV/atom.

***

7.
A geometry-optimized OsBr2Cl structure. Source: Alexandria via LeMat-Bulk, functional PBE-GGA.

a = 7.284 Å, b = 7.284 Å, c = 6.538 Å
α = 56.14°, β = 56.14°, γ = 90.00°
Fractional positions:
Os (0.000, 0.000, 0.000)
Os (0.750, 0.250, 0.500)
Br (0.713, 0.125, 0.250)
Br (0.037, 0.625, 0.250)
Br (0.375, 0.287, 0.750)
Br (0.875, 0.963, 0.750)
Cl (0.500, 0.500, 0.000)
Cl (0.250, 0.750, 0.500)

Computed properties:
The uncorrected formation energy comes out at 0.57 eV/atom. The value obtained for the energy above the most stable polymorph in this dataset is 2.278 eV per formula unit. Its space-group type is I-42d, No. 122. The crystal system is tetragonal.

***

8.
A geometry-optimized TeRu2I structure. Source: Alexandria via LeMat-Bulk, functional PBE-GGA.

a = 4.746 Å, b = 4.746 Å, c = 4.746 Å
α = 60.00°, β = 60.00°, γ = 60.00°
Each line ends with the local moment (μB).
Fractional positions:
I (0.500, 0.500, 0.500)  0.03
Ru (0.250, 0.250, 0.250)  0.73
Ru (0.750, 0.750, 0.750)  0.73
Te (0.000, 0.000, 0.000)  -0.01

Computed properties:
The uncorrected formation energy comes out at 0.72 eV/atom. The value obtained for the energy above the most stable polymorph in this dataset is 0.487 eV per formula unit. Its space-group type is Fm-3m, No. 225. The crystal system is cubic.

***

9.
A geometry-optimized CsRb2CrBr6 structure. Source: Alexandria via LeMat-Bulk, functional PBE-GGA.

a = 8.330 Å, b = 8.330 Å, c = 8.330 Å
α = 60.00°, β = 60.00°, γ = 90.00°
Each line ends with the local moment (μB).
Fractional positions:
Cs (0.000, 0.000, 0.000)  -0.01
Cr (0.500, 0.500, 0.000)  2.92
Br (0.286, 0.286, 0.429)  -0.03
Br (0.714, 0.714, 0.571)  -0.03
Br (0.286, 0.286, 0.000)  -0.03
Br (0.714, 0.714, 0.000)  -0.03
Br (0.714, 0.286, 0.000)  -0.03
Br (0.286, 0.714, 0.000)  -0.03
Rb (0.750, 0.250, 0.500)  0.00
Rb (0.250, 0.750, 0.500)  0.00

Computed properties:
The uncorrected formation energy comes out at -1.31 eV/atom. The value obtained for the energy above the most stable polymorph in this dataset is 0.453 eV per formula unit. Its space-group type is Fm-3m, No. 225. The crystal system is cubic.

***

10.
A geometry-optimized Ac2GaAs3Ir4 structure. Source: Alexandria via LeMat-Bulk, functional PBE-GGA.

a = 4.338 Å, b = 4.338 Å, c = 10.486 Å
α = 90.00°, β = 90.00°, γ = 90.00°
Fractional positions:
Ac (0.500, 0.000, 0.254)
Ac (0.000, 0.500, 0.746)
Ga (0.500, 0.500, 0.500)
As (0.000, 0.000, 0.500)
As (0.500, 0.000, 0.865)
As (0.000, 0.500, 0.135)
Ir (0.500, 0.500, 0.000)
Ir (0.000, 0.000, 0.000)
Ir (0.500, 0.000, 0.627)
Ir (0.000, 0.500, 0.373)

Computed properties:
Its space-group type is P-4m2, No. 115. The crystal system is tetragonal. As for the energy of formation from the pure elements: -0.724 eV/atom.

***

11.
A geometry-optimized CoCu2Pt2 structure. Source: Alexandria via LeMat-Bulk, functional PBE-GGA.

a = 7.099 Å, b = 7.099 Å, c = 2.826 Å
α = 90.00°, β = 90.00°, γ = 90.00°
Each line ends with the local moment (μB).
Fractional positions:
Co (0.000, 0.000, 0.000)  2.10
Co (0.500, 0.500, 0.000)  2.10
Cu (0.377, 0.877, 0.000)  0.04
Cu (0.877, 0.623, 0.000)  0.05
Cu (0.623, 0.123, 0.000)  0.04
Cu (0.123, 0.377, 0.000)  0.05
Pt (0.176, 0.676, 0.500)  0.16
Pt (0.676, 0.824, 0.500)  0.16
Pt (0.824, 0.324, 0.500)  0.16
Pt (0.324, 0.176, 0.500)  0.16

Computed properties:
The value obtained for the energy above the most stable polymorph in this dataset is 0.000 eV per formula unit. Its space-group type is P4/mbm, No. 127. The crystal system is tetragonal. As for the energy of formation from the pure elements: 0.197 eV/atom.

***

12.
A geometry-optimized CePm2Be structure. Source: Alexandria via LeMat-Bulk, functional PBE-GGA.

a = 3.435 Å, b = 3.435 Å, c = 11.621 Å
α = 81.50°, β = 81.50°, γ = 60.00°
Each line ends with the local moment (μB).
Fractional positions:
Be (0.000, 0.000, 0.000)  0.00
Ce (0.500, 0.500, 0.500)  0.29
Pm (0.085, 0.085, 0.746)  -0.01
Pm (0.915, 0.915, 0.254)  -0.01

Computed properties:
The value obtained for the energy above the most stable polymorph in this dataset is 2.243 eV per formula unit. Its space-group type is R-3m, No. 166. The crystal system is trigonal. As for the energy of formation from the pure elements: 0.711 eV/atom.